i.
Material: LaErTm6
Method: DFT, PBE
State: relaxed

abc: 4.9745 7.0490 7.0490
angles: 89.97 90.00 90.00
Closest atoms and distances in Å follow each position.
Fractional coordinates of all 8 atoms:
1 La 0.5000 0.5000 0.5000  12 Tm 3.52-3.55
2 Er 0.5000 0.0000 0.0000  12 Tm 3.50-3.52
3 Tm 0.5000 0.0000 0.5000  8 Tm 3.52, 2 La 3.52, 2 Er 3.52
4 Tm 0.5000 0.5000 0.0000  8 Tm 3.52, 2 Er 3.52, 2 La 3.52
5 Tm 0.0000 0.2466 0.2466  8 Tm 3.48-3.57, 2 Er 3.50, 2 La 3.55
6 Tm 0.0000 0.7534 0.7534  8 Tm 3.48-3.57, 2 Er 3.50, 2 La 3.55
7 Tm 0.0000 0.7535 0.2465  8 Tm 3.48-3.57, 2 Er 3.50, 2 La 3.55
8 Tm 0.0000 0.2465 0.7535  8 Tm 3.48-3.57, 2 Er 3.50, 2 La 3.55

Summary:
- Space group: P4/mmm (123)

ii.
Material: LaErTm6
Method: DFT, PBE
State: relaxed

abc: 8.6882 8.6882 6.5810
angles: 48.69 48.69 60.00
Closest atoms and distances in Å follow each position.
Fractional coordinates of all 8 atoms:
1 La 0.0000 0.0000 0.0000  6 Tm 3.28
2 Er 0.5000 0.5000 0.5000  6 Tm 3.37
3 Tm 0.8429 0.8429 0.8338  5 Tm 3.15-3.50, 1 La 3.28, 1 Er 3.37
4 Tm 0.4804 0.8429 0.8338  5 Tm 3.15-3.50, 1 La 3.28, 1 Er 3.37
5 Tm 0.1571 0.5196 0.1662  5 Tm 3.15-3.50, 1 La 3.28, 1 Er 3.37
6 Tm 0.5196 0.1571 0.1662  5 Tm 3.15-3.50, 1 La 3.28, 1 Er 3.37
7 Tm 0.1571 0.1571 0.1662  5 Tm 3.15-3.50, 1 La 3.28, 1 Er 3.37
8 Tm 0.8429 0.4804 0.8338  5 Tm 3.15-3.50, 1 La 3.28, 1 Er 3.37

Summary:
- Space group: R-3m (166)

Last place for stability: ii

i.
Material: La4Er5Tm
Method: DFT, PBE
State: relaxed

abc: 5.9721 8.1865 8.1865
angles: 82.35 68.61 68.61
Closest atoms and distances in Å follow each position.
Fractional coordinates of all 10 atoms:
1 La 0.4452 0.3216 0.6786  2 Er 3.36, 1 Tm 3.73
2 La 0.7668 0.6786 0.6784  2 Er 3.36, 1 Tm 3.73
3 La 0.1238 0.3214 0.3216  2 Er 3.36, 1 Tm 3.73
4 La 0.4455 0.6784 0.3214  2 Er 3.36, 1 Tm 3.73
5 Er 0.7669 0.3763 0.9998  1 Tm 3.26, 3 Er 3.26-3.53, 2 La 3.36
6 Er 0.1432 0.9998 0.6237  1 Tm 3.26, 3 Er 3.26-3.53, 2 La 3.36
7 Er 0.7667 0.0002 0.3763  1 Tm 3.26, 3 Er 3.26-3.53, 2 La 3.36
8 Er 0.1429 0.6237 0.0002  1 Tm 3.26, 3 Er 3.26-3.53, 2 La 3.36
9 Er 0.6961 0.0000 0.0000  2 Tm 2.88-3.09
10 Tm 0.2133 0.0000 0.0000  2 Er 2.88-3.09

Summary:
- Space group: I4mm (107)

ii.
Material: La4Er5Tm
Method: DFT, PBE
State: relaxed

abc: 3.5257 11.4432 8.7187
angles: 89.93 101.67 90.00
Closest atoms and distances in Å follow each position.
Fractional coordinates of all 10 atoms:
1 La 0.6651 0.2501 0.3301  4 La 3.53-3.82, 6 Er 3.63-3.82
2 La 0.0332 0.7504 0.0664  4 Er 3.33-3.41, 2 Tm 3.40, 2 La 3.53
3 La 0.3349 0.7499 0.6699  4 La 3.53-3.82, 6 Er 3.63-3.82
4 La 0.9668 0.2496 0.9336  4 Er 3.33-3.41, 2 Tm 3.40, 2 La 3.53
5 Er 0.1720 0.9544 0.3439  2 La 3.33-3.63, 4 Er 3.36-3.53, 2 Tm 3.46
6 Er 0.1722 0.5464 0.3445  2 La 3.33-3.63, 6 Er 3.36-3.53
7 Er 0.8278 0.4536 0.6555  2 La 3.33-3.63, 6 Er 3.36-3.53
8 Er 0.5000 0.5000 0.0000  4 La 3.41, 6 Er 3.47-3.53
9 Er 0.8280 0.0456 0.6561  2 La 3.33-3.63, 4 Er 3.36-3.53, 2 Tm 3.46
10 Tm 0.5000 0.0000 0.0000  4 La 3.40, 4 Er 3.46, 2 Tm 3.53

Summary:
- Space group: C2/m (12)

Last place for stability: i

i.
Material: LaEr5Tm4
Method: DFT, PBE
State: relaxed

abc: 6.2775 7.8076 7.8076
angles: 80.70 66.30 66.30
Closest atoms and distances in Å follow each position.
Fractional coordinates of all 10 atoms:
1 La 0.2245 0.0000 0.0000  1 Er 2.86
2 Er 0.8046 0.3787 0.9071  4 Tm 3.20-3.51, 1 Er 3.25, 1 La 3.29
3 Er 0.1833 0.9071 0.6213  4 Tm 3.20-3.51, 1 Er 3.25, 1 La 3.29
4 Er 0.7117 0.0929 0.3787  4 Tm 3.20-3.51, 1 Er 3.25, 1 La 3.29
5 Er 0.0903 0.6213 0.0929  4 Tm 3.20-3.51, 1 Er 3.25, 1 La 3.29
6 Er 0.6807 0.0000 0.0000  1 La 2.86
7 Tm 0.4009 0.4040 0.7017  1 Tm 3.19, 4 Er 3.20-3.51
8 Tm 0.8049 0.7017 0.5960  1 Tm 3.19, 4 Er 3.20-3.51
9 Tm 0.1026 0.2983 0.4040  1 Tm 3.19, 4 Er 3.20-3.51
10 Tm 0.5067 0.5960 0.2983  1 Tm 3.19, 4 Er 3.20-3.51

Summary:
- Space group: I4 (79)

ii.
Material: LaEr5Tm4
Method: DFT, PBE
State: relaxed

abc: 3.5328 9.9349 10.5824
angles: 103.58 120.03 90.05
Closest atoms and distances in Å follow each position.
Fractional coordinates of all 10 atoms:
1 La 0.5000 0.0000 0.0000  2 La 3.53, 2 Er 3.54, 8 Tm 3.56-3.57
2 Er 0.0978 0.5990 0.3989  5 Tm 3.47-3.51, 7 Er 3.52-3.53
3 Er 0.1027 0.1012 0.4015  5 Tm 3.48-3.54, 6 Er 3.52-3.53, 1 La 3.54
4 Er 0.8973 0.8988 0.5985  5 Tm 3.48-3.54, 6 Er 3.52-3.53, 1 La 3.54
5 Er 0.5000 0.5000 0.0000  8 Tm 3.51-3.52, 4 Er 3.52-3.53
6 Er 0.9022 0.4010 0.6011  5 Tm 3.47-3.51, 7 Er 3.52-3.53
7 Tm 0.3058 0.7975 0.2041  7 Er 3.48-3.54, 3 Tm 3.53-3.59, 2 La 3.57
8 Tm 0.6958 0.6958 0.7971  7 Er 3.47-3.54, 3 Tm 3.53-3.59, 2 La 3.56
9 Tm 0.6942 0.2025 0.7959  7 Er 3.48-3.54, 3 Tm 3.53-3.59, 2 La 3.57
10 Tm 0.3042 0.3042 0.2029  7 Er 3.47-3.54, 3 Tm 3.53-3.59, 2 La 3.56

Summary:
- Space group: P-1 (2)

Last place for stability: i

i.
Material: LaEr2Tm7
Method: DFT, PBE
State: relaxed

abc: 5.5905 9.0833 9.0833
angles: 123.03 90.00 90.00
Closest atoms and distances in Å follow each position.
Fractional coordinates of all 10 atoms:
1 La 0.0000 0.0000 0.0000  10 Tm 3.47-3.69
2 Er 0.5000 0.7031 0.2969  7 Tm 3.07-3.26
3 Er 0.5000 0.2969 0.7031  7 Tm 3.07-3.26
4 Tm 0.0000 0.7826 0.2174  2 Er 3.07
5 Tm 0.0000 0.2174 0.7826  2 Er 3.07
6 Tm 0.5000 0.0598 0.2927  2 Tm 3.05-3.37, 2 Er 3.13-3.26
7 Tm 0.5000 0.9402 0.7073  2 Tm 3.05-3.37, 2 Er 3.13-3.26
8 Tm 0.5000 0.2927 0.0598  2 Tm 3.05-3.37, 2 Er 3.13-3.26
9 Tm 0.5000 0.7073 0.9402  2 Tm 3.05-3.37, 2 Er 3.13-3.26
10 Tm 0.5000 0.5000 0.5000  2 Er 3.24, 4 Tm 3.37

Summary:
- Space group: Cmmm (65)

ii.
Material: LaEr2Tm7
Method: DFT, PBE
State: relaxed

abc: 9.4377 9.4377 5.4475
angles: 90.00 90.00 128.42
Closest atoms and distances in Å follow each position.
Fractional coordinates of all 10 atoms:
1 La 0.0000 0.0000 0.0000  8 Tm 3.58
2 Er 0.2680 0.7320 0.5000  6 Tm 3.26-3.52
3 Er 0.7320 0.2680 0.5000  6 Tm 3.26-3.52
4 Tm 0.3994 0.6006 0.0000  3 Tm 3.22-3.42, 2 Er 3.52
5 Tm 0.6006 0.3994 0.0000  3 Tm 3.22-3.42, 2 Er 3.52
6 Tm 0.9069 0.7062 0.5000  2 Tm 3.04-3.18, 2 Er 3.26-3.37
7 Tm 0.0931 0.2938 0.5000  2 Tm 3.04-3.18, 2 Er 3.26-3.37
8 Tm 0.7062 0.9069 0.5000  2 Tm 3.04-3.18, 2 Er 3.26-3.37
9 Tm 0.2938 0.0931 0.5000  2 Tm 3.04-3.18, 2 Er 3.26-3.37
10 Tm 0.5000 0.5000 0.5000  8 Tm 3.04-3.22

Summary:
- Space group: Cmmm (65)

Last place for stability: i

i.
Material: LaEr6Tm3
Method: DFT, PBE
State: relaxed

abc: 9.7178 9.7178 6.8320
angles: 44.67 44.67 60.00
Closest atoms and distances in Å follow each position.
Fractional coordinates of all 10 atoms:
1 La 0.8994 0.8994 0.3018  2 Tm 2.90-3.03
2 Er 0.9049 0.5620 0.2927  1 La 3.30, 2 Tm 3.33-3.36
3 Er 0.2405 0.9049 0.2927  1 La 3.30, 2 Tm 3.33-3.36
4 Er 0.5620 0.2405 0.2927  1 La 3.30, 2 Tm 3.33-3.36
5 Er 0.0702 0.4055 0.7904  3 Tm 3.23-3.42
6 Er 0.7340 0.0702 0.7904  3 Tm 3.23-3.42
7 Er 0.4055 0.7340 0.7904  3 Tm 3.23-3.42
8 Tm 0.3959 0.3959 0.8124  2 Tm 2.86-2.90
9 Tm 0.6401 0.6401 0.0797  1 Tm 2.86, 1 La 3.03
10 Tm 0.1477 0.1477 0.5570  1 Tm 2.90, 1 La 2.90

Summary:
- Space group: R3 (146)

ii.
Material: LaEr6Tm3
Method: DFT, PBE
State: relaxed

abc: 8.8671 8.9328 8.9328
angles: 116.56 90.00 90.00
Closest atoms and distances in Å follow each position.
Fractional coordinates of all 20 atoms:
1 La 0.0140 0.2247 0.7753  6 Er 3.31-3.54, 1 Tm 3.57
2 La 0.5140 0.7753 0.2247  6 Er 3.31-3.54, 1 Tm 3.57
3 Er 0.1041 0.8086 0.6924  4 Tm 3.26-3.62, 4 Er 3.29-3.56, 1 La 3.54
4 Er 0.6041 0.6924 0.8086  4 Tm 3.26-3.62, 4 Er 3.29-3.56, 1 La 3.54
5 Er 0.2757 0.5285 0.8263  4 Er 3.29-3.56, 3 Tm 3.35-3.64, 1 La 3.44
6 Er 0.7757 0.8263 0.5285  4 Er 3.29-3.56, 3 Tm 3.35-3.64, 1 La 3.44
7 Er 0.2858 0.9480 0.0520  6 Er 3.30-3.67, 1 La 3.31, 2 Tm 3.60
8 Er 0.6456 0.2857 0.7143  3 Tm 3.32-3.47, 2 Er 3.36, 1 La 3.40
9 Er 0.1456 0.7143 0.2857  3 Tm 3.32-3.47, 2 Er 3.36, 1 La 3.40
10 Er 0.7858 0.0520 0.9480  6 Er 3.30-3.67, 1 La 3.31, 2 Tm 3.60
11 Er 0.2757 0.1737 0.4715  4 Er 3.29-3.56, 3 Tm 3.35-3.64, 1 La 3.44
12 Er 0.7757 0.4715 0.1737  4 Er 3.29-3.56, 3 Tm 3.35-3.64, 1 La 3.44
13 Er 0.1041 0.3076 0.1914  4 Tm 3.26-3.62, 4 Er 3.29-3.56, 1 La 3.54
14 Er 0.6041 0.1914 0.3076  4 Tm 3.26-3.62, 4 Er 3.29-3.56, 1 La 3.54
15 Tm 0.4332 0.9684 0.6867  2 Tm 3.24-3.39, 6 Er 3.26-3.60
16 Tm 0.9332 0.6867 0.9684  2 Tm 3.24-3.39, 6 Er 3.26-3.60
17 Tm 0.4140 0.5481 0.4519  7 Er 3.31-3.64, 2 Tm 3.39, 1 La 3.57
18 Tm 0.9140 0.4519 0.5481  7 Er 3.31-3.64, 2 Tm 3.39, 1 La 3.57
19 Tm 0.9332 0.0316 0.3133  2 Tm 3.24-3.39, 6 Er 3.26-3.60
20 Tm 0.4332 0.3133 0.0316  2 Tm 3.24-3.39, 6 Er 3.26-3.60

Summary:
- Space group: Cmc2_1 (36)

Last place for stability: i

i.
Material: LaEr12Tm6
Method: DFT, PBE
State: relaxed

abc: 8.4455 8.4455 8.4455
angles: 88.20 88.20 88.20
Closest atoms and distances in Å follow each position.
Fractional coordinates of all 19 atoms:
1 La 0.0000 0.0000 0.0000  6 Tm 3.47, 6 Er 3.55
2 Er 0.7723 0.5457 0.4351  3 Tm 3.20-3.41, 6 Er 3.25-3.50
3 Er 0.4351 0.7723 0.5457  3 Tm 3.20-3.41, 6 Er 3.25-3.50
4 Er 0.5457 0.4351 0.7723  3 Tm 3.20-3.41, 6 Er 3.25-3.50
5 Er 0.2277 0.4543 0.5649  3 Tm 3.20-3.41, 6 Er 3.25-3.50
6 Er 0.5649 0.2277 0.4543  3 Tm 3.20-3.41, 6 Er 3.25-3.50
7 Er 0.4543 0.5649 0.2277  3 Tm 3.20-3.41, 6 Er 3.25-3.50
8 Er 0.0068 0.2129 0.3560  4 Er 3.38-3.57, 4 Tm 3.48-3.64, 1 La 3.55
9 Er 0.7871 0.6440 0.9932  4 Er 3.38-3.57, 4 Tm 3.48-3.64, 1 La 3.55
10 Er 0.6440 0.9932 0.7871  4 Er 3.38-3.57, 4 Tm 3.48-3.64, 1 La 3.55
11 Er 0.9932 0.7871 0.6440  4 Er 3.38-3.57, 4 Tm 3.48-3.64, 1 La 3.55
12 Er 0.2129 0.3560 0.0068  4 Er 3.38-3.57, 4 Tm 3.48-3.64, 1 La 3.55
13 Er 0.3560 0.0068 0.2129  4 Er 3.38-3.57, 4 Tm 3.48-3.64, 1 La 3.55
14 Tm 0.7436 0.9083 0.3160  6 Er 3.20-3.58, 1 La 3.47, 2 Tm 3.48
15 Tm 0.6840 0.2564 0.0917  6 Er 3.20-3.58, 1 La 3.47, 2 Tm 3.48
16 Tm 0.0917 0.6840 0.2564  6 Er 3.20-3.58, 1 La 3.47, 2 Tm 3.48
17 Tm 0.2564 0.0917 0.6840  6 Er 3.20-3.58, 1 La 3.47, 2 Tm 3.48
18 Tm 0.3160 0.7436 0.9083  6 Er 3.20-3.58, 1 La 3.47, 2 Tm 3.48
19 Tm 0.9083 0.3160 0.7436  6 Er 3.20-3.58, 1 La 3.47, 2 Tm 3.48

Summary:
- Space group: R-3 (148)

ii.
Material: LaEr12Tm6
Method: DFT, PBE
State: relaxed

abc: 9.1840 9.1840 9.1840
angles: 107.37 107.37 107.37
Closest atoms and distances in Å follow each position.
Fractional coordinates of all 19 atoms:
1 La 0.0000 0.0000 0.0000  6 Er 3.54
2 Er 0.8885 0.1115 0.5000  4 Tm 3.23-3.36, 3 Er 3.30-3.57
3 Er 0.3695 0.1478 0.3695  1 Tm 3.09, 2 Er 3.28
4 Er 0.3695 0.3695 0.1478  1 Tm 3.09, 2 Er 3.28
5 Er 0.8522 0.6305 0.6305  1 Tm 3.09, 2 Er 3.28
6 Er 0.6305 0.6305 0.8522  1 Tm 3.09, 2 Er 3.28
7 Er 0.6305 0.8522 0.6305  1 Tm 3.09, 2 Er 3.28
8 Er 0.5000 0.8885 0.1115  4 Tm 3.23-3.36, 3 Er 3.30-3.57
9 Er 0.1115 0.5000 0.8885  4 Tm 3.23-3.36, 3 Er 3.30-3.57
10 Er 0.1115 0.8885 0.5000  4 Tm 3.23-3.36, 3 Er 3.30-3.57
11 Er 0.5000 0.1115 0.8885  4 Tm 3.23-3.36, 3 Er 3.30-3.57
12 Er 0.8885 0.5000 0.1115  4 Tm 3.23-3.36, 3 Er 3.30-3.57
13 Er 0.1478 0.3695 0.3695  1 Tm 3.09, 2 Er 3.28
14 Tm 0.6917 0.2706 0.6917  5 Er 3.09-3.36
15 Tm 0.6917 0.6917 0.2706  5 Er 3.09-3.36
16 Tm 0.2706 0.6917 0.6917  5 Er 3.09-3.36
17 Tm 0.3083 0.3083 0.7294  5 Er 3.09-3.36
18 Tm 0.3083 0.7294 0.3083  5 Er 3.09-3.36
19 Tm 0.7294 0.3083 0.3083  5 Er 3.09-3.36

Summary:
- Space group: R-3m (166)

Last place for stability: ii